1.
## Er2MgSi3Pt4 (PBE)

Data for a relaxed Er2MgSi3Pt4 crystal.

Cell lengths 4.153, 4.153, 10.325 Å; angles 90.00, 90.00, 90.00 degrees
Space group P-4m2 (No. 115)
Symmetry-distinct sites (fractional):
Er1 0.000 0.500 0.245 [2 per cell]
Mg1 0.000 0.000 0.500 [1 per cell]
Si1 0.000 0.500 0.870 [2 per cell]
Si2 0.500 0.500 0.500 [1 per cell]
Pt1 0.000 0.000 0.000 [1 per cell]
Pt2 0.000 0.500 0.645 [2 per cell]
Pt3 0.500 0.500 0.000 [1 per cell]

Calculated values
Its energy relative to the elements, uncorrected is -1.038 eV per atom.


2.
## ErMgSi2Pt5 (PBE)

Data for a relaxed ErMgSi2Pt5 crystal.

Cell lengths 4.123, 4.123, 8.931 Å; angles 90.00, 90.00, 90.00 degrees
Space group P4/mmm (No. 123)
Symmetry-distinct sites (fractional):
Er1 0.000 0.000 0.000 [1 per cell]
Mg1 0.000 0.000 0.500 [1 per cell]
Si1 0.500 0.500 0.372 [2 per cell]
Pt1 0.000 0.500 0.238 [4 per cell]
Pt2 0.500 0.500 0.000 [1 per cell]

Calculated values
Its energy relative to the elements, uncorrected is -0.924 eV per atom.